# PBE-GGA In3SnBr6, relaxed
# * formation energy from raw total energies: -0.659 eV/atom
data_In3SnBr6
_symmetry_space_group_name_H-M 'R -3'
_symmetry_Int_Tables_number 148
_symmetry_space_group_name_Hall '-R 3'
_cell_length_a 13.2529
_cell_length_b 13.2529
_cell_length_c 15.2207
_cell_angle_alpha 90.00
_cell_angle_beta 90.00
_cell_angle_gamma 120.00
loop_
_atom_site_label
_atom_site_fract_x
_atom_site_fract_y
_atom_site_fract_z
_atom_site_occupancy
In1 0.0414 0.2513 0.2228 1
Sn1 0.0000 0.0000 0.0000 1
Sn2 0.0000 0.0000 0.5000 1
Br1 0.0427 0.1962 0.8806 1
Br2 0.0906 0.1903 0.6002 1

# PBE-GGA HfRe6, relaxed
# * total energy: -12.0850 eV/atom
data_HfRe6
_symmetry_space_group_name_H-M 'P n m a'
_symmetry_Int_Tables_number 62
_cell_length_a 8.454
_cell_length_b 5.126
_cell_length_c 10.797
_cell_angle_alpha 90.00
_cell_angle_beta 90.00
_cell_angle_gamma 90.00
loop_
_symmetry_equiv_pos_as_xyz
'x,y,z'
'-x,-y,-z'
'-x+1/2,-y,z+1/2'
'x+1/2,y,-z+1/2'
'x+1/2,-y+1/2,-z+1/2'
'-x+1/2,y+1/2,z+1/2'
'-x,y+1/2,-z'
'x,-y+1/2,z'
loop_
_atom_site_label
_atom_site_fract_x
_atom_site_fract_y
_atom_site_fract_z
_atom_site_occupancy
Hf1 0.228 0.250 0.054 1
Re1 0.073 0.009 0.306 1
Re2 0.073 0.750 0.075 1
Re3 0.083 0.250 0.522 1
Re4 0.138 0.750 0.847 1
Re5 0.183 0.250 0.755 1

# PBE-GGA TcHSe2, relaxed
# * total energy: -5.3414 eV/atom
data_TcHSe2
_symmetry_space_group_name_H-M 'P 1 21/c 1'
_symmetry_Int_Tables_number 14
_cell_length_a 6.569
_cell_length_b 5.617
_cell_length_c 7.937
_cell_angle_alpha 90.00
_cell_angle_beta 105.99
_cell_angle_gamma 90.00
loop_
_symmetry_equiv_pos_as_xyz
'x,y,z'
'-x,-y,-z'
'-x,y+1/2,-z+1/2'
'x,-y+1/2,z+1/2'
loop_
_atom_site_label
_atom_site_fract_x
_atom_site_fract_y
_atom_site_fract_z
_atom_site_occupancy
Tc1 0.001 0.249 0.321 1
H1 0.164 0.503 0.787 1
Se1 0.223 0.604 0.475 1
Se2 0.228 0.101 0.628 1